# Y3FeF

A geometry-optimized Y3FeF structure (GGA+U, Alexandria via LeMat-Bulk).

## Properties
M_tot (μB per cell): 2.826
Energy above the lowest structure with this stoichiometry (eV/f.u.): 0.00
E (eV/f.u.): -29.616

Unit cell a=4.844 b=4.844 c=4.844 alpha=90.00 beta=90.00 gamma=90.00
Each line ends with the local moment (μB).
Fractional positions:
Y: 0.000 0.000 0.500  -0.15
Fe: 0.500 0.500 0.500  3.72
F: 0.000 0.000 0.000  -0.01
Y: 0.000 0.500 0.000  -0.10
Y: 0.500 0.000 0.000  -0.18